First-principles (PBE-GGA) data for crystalline CaRe2Si at its relaxed geometry, as listed in Alexandria.

Properties
**Crystal system**: monoclinic
**Spin magnetization**: 0.000 μB per cell
**Calculated total energy**: -30.08 eV per cell

Lattice parameters (Å, degrees): 5.0653 2.7383 5.1452 90.00 112.88 90.00
Last column: nearest neighbours and their distance in Å.
Space group P2/m (No. 10)
Inequivalent atoms, fractional coordinates:
1 Ca 0.0000 0.0000 0.0000 [1 per cell]  2 Ca 2.74, 6 Re 2.82-2.91, 4 Si 2.88
2 Re 0.0000 0.5000 0.5000 [1 per cell]  6 Re 2.74-2.88, 2 Si 2.82, 4 Ca 2.91
3 Re 0.5000 0.0000 0.5000 [1 per cell]  6 Re 2.74-2.88, 2 Ca 2.82, 4 Si 2.91
4 Si 0.5000 0.5000 0.0000 [1 per cell]  2 Si 2.74, 6 Re 2.82-2.91, 4 Ca 2.88